No. 1
# ScSi2 (PBE, relaxed)
# SG: Pnma
# Crystal system: orthorhombic
# Formation energy from raw total energies, eV/atom: -0.455
# Theoretical density, g/cm3: 3.38
data_ScSi2
_chemical_formula_sum 'Sc4 Si8'
_cell_length_a 5.700
_cell_length_b 3.748
_cell_length_c 9.308
_cell_angle_alpha 90.00
_cell_angle_beta 90.00
_cell_angle_gamma 90.00
_symmetry_space_group_name_H-M 'P 1'
_symmetry_Int_Tables_number 1
loop_
_symmetry_equiv_pos_as_xyz
'x,y,z'
loop_
_atom_site_label
_atom_site_type_symbol
_atom_site_fract_x
_atom_site_fract_y
_atom_site_fract_z
_atom_site_occupancy
Sc1 Sc 0.140 0.250 0.120 1
Sc2 Sc 0.360 0.750 0.620 1
Sc3 Sc 0.640 0.250 0.380 1
Sc4 Sc 0.860 0.750 0.880 1
Si1 Si 0.132 0.250 0.437 1
Si2 Si 0.179 0.250 0.801 1
Si3 Si 0.321 0.750 0.301 1
Si4 Si 0.368 0.750 0.937 1
Si5 Si 0.632 0.250 0.063 1
Si6 Si 0.679 0.250 0.699 1
Si7 Si 0.821 0.750 0.199 1
Si8 Si 0.868 0.750 0.563 1

=====

No. 2
# Sc4Si (PBE, relaxed)
# SG: Im-3m
# Crystal system: cubic
# Energy above the most stable polymorph in this dataset, meV per atom: 94
# Formation energy from raw total energies, eV/atom: 0.129
# Theoretical density, g/cm3: 2.79
data_Sc4Si
_chemical_formula_sum 'Sc4 Si1'
_cell_length_a 5.440
_cell_length_b 5.440
_cell_length_c 5.440
_cell_angle_alpha 109.47
_cell_angle_beta 109.47
_cell_angle_gamma 109.47
_symmetry_space_group_name_H-M 'P 1'
_symmetry_Int_Tables_number 1
loop_
_symmetry_equiv_pos_as_xyz
'x,y,z'
loop_
_atom_site_label
_atom_site_type_symbol
_atom_site_fract_x
_atom_site_fract_y
_atom_site_fract_z
_atom_site_occupancy
Sc1 Sc 0.000 0.000 0.500 1
Sc2 Sc 0.000 0.500 0.000 1
Sc3 Sc 0.500 0.000 0.000 1
Sc4 Sc 0.500 0.500 0.500 1
Si1 Si 0.000 0.000 0.000 1

=====

No. 3
# ScSi (PBE, relaxed)
# SG: P4_2/mnm
# Crystal system: tetragonal
# Formation energy from raw total energies, eV/atom: -0.369
# Theoretical density, g/cm3: 3.08
data_ScSi
_chemical_formula_sum 'Sc4 Si4'
_cell_length_a 5.393
_cell_length_b 5.393
_cell_length_c 5.419
_cell_angle_alpha 90.00
_cell_angle_beta 90.00
_cell_angle_gamma 90.00
_symmetry_space_group_name_H-M 'P 1'
_symmetry_Int_Tables_number 1
loop_
_symmetry_equiv_pos_as_xyz
'x,y,z'
loop_
_atom_site_label
_atom_site_type_symbol
_atom_site_fract_x
_atom_site_fract_y
_atom_site_fract_z
_atom_site_occupancy
Sc1 Sc 0.191 0.191 0.000 1
Sc2 Sc 0.309 0.691 0.500 1
Sc3 Sc 0.691 0.309 0.500 1
Sc4 Sc 0.809 0.809 0.000 1
Si1 Si 0.166 0.166 0.500 1
Si2 Si 0.334 0.666 0.000 1
Si3 Si 0.666 0.334 0.000 1
Si4 Si 0.834 0.834 0.500 1

=====

No. 4
# ScSi (PBE, relaxed)
# SG: P-6m2
# Crystal system: hexagonal
# Formation energy from raw total energies, eV/atom: -0.362
# Theoretical density, g/cm3: 3.27
data_ScSi
_chemical_formula_sum 'Sc1 Si1'
_cell_length_a 3.149
_cell_length_b 3.149
_cell_length_c 4.318
_cell_angle_alpha 90.00
_cell_angle_beta 90.00
_cell_angle_gamma 120.00
_symmetry_space_group_name_H-M 'P 1'
_symmetry_Int_Tables_number 1
loop_
_symmetry_equiv_pos_as_xyz
'x,y,z'
loop_
_atom_site_label
_atom_site_type_symbol
_atom_site_fract_x
_atom_site_fract_y
_atom_site_fract_z
_atom_site_occupancy
Sc1 Sc 0.000 0.000 0.000 1
Si1 Si 0.667 0.333 0.500 1

=====

No. 5
# ScSi (PBE, relaxed)
# SG: P6_3/m
# Crystal system: hexagonal
# Formation energy from raw total energies, eV/atom: -0.344
# Theoretical density, g/cm3: 2.96
data_ScSi
_chemical_formula_sum 'Sc6 Si6'
_cell_length_a 7.202
_cell_length_b 7.202
_cell_length_c 5.468
_cell_angle_alpha 90.00
_cell_angle_beta 90.00
_cell_angle_gamma 120.00
_symmetry_space_group_name_H-M 'P 1'
_symmetry_Int_Tables_number 1
loop_
_symmetry_equiv_pos_as_xyz
'x,y,z'
loop_
_atom_site_label
_atom_site_type_symbol
_atom_site_fract_x
_atom_site_fract_y
_atom_site_fract_z
_atom_site_occupancy
Sc1 Sc 0.095 0.772 0.250 1
Sc2 Sc 0.228 0.322 0.250 1
Sc3 Sc 0.322 0.095 0.750 1
Sc4 Sc 0.678 0.905 0.250 1
Sc5 Sc 0.772 0.678 0.750 1
Sc6 Sc 0.905 0.228 0.750 1
Si1 Si 0.139 0.667 0.750 1
Si2 Si 0.333 0.472 0.750 1
Si3 Si 0.472 0.139 0.250 1
Si4 Si 0.528 0.861 0.750 1
Si5 Si 0.667 0.528 0.250 1
Si6 Si 0.861 0.333 0.250 1

=====

No. 6
# ScSi3 (PBE, relaxed)
# SG: Pmmm
# Crystal system: orthorhombic
# Formation energy from raw total energies, eV/atom: -0.211
# Theoretical density, g/cm3: 3.39
data_ScSi3
_chemical_formula_sum 'Sc1 Si3'
_cell_length_a 2.834
_cell_length_b 4.501
_cell_length_c 4.965
_cell_angle_alpha 90.00
_cell_angle_beta 90.00
_cell_angle_gamma 90.00
_symmetry_space_group_name_H-M 'P 1'
_symmetry_Int_Tables_number 1
loop_
_symmetry_equiv_pos_as_xyz
'x,y,z'
loop_
_atom_site_label
_atom_site_type_symbol
_atom_site_fract_x
_atom_site_fract_y
_atom_site_fract_z
_atom_site_occupancy
Sc1 Sc 0.000 0.000 0.000 1
Si1 Si 0.500 0.000 0.500 1
Si2 Si 0.500 0.500 0.247 1
Si3 Si 0.500 0.500 0.753 1

=====

No. 7
# ScSi (PBE, relaxed)
# SG: P2_12_12_1
# Crystal system: orthorhombic
# Formation energy from raw total energies, eV/atom: -0.659
# Theoretical density, g/cm3: 3.37
data_ScSi
_chemical_formula_sum 'Sc8 Si8'
_cell_length_a 5.265
_cell_length_b 5.429
_cell_length_c 10.070
_cell_angle_alpha 90.00
_cell_angle_beta 90.00
_cell_angle_gamma 90.00
_symmetry_space_group_name_H-M 'P 1'
_symmetry_Int_Tables_number 1
loop_
_symmetry_equiv_pos_as_xyz
'x,y,z'
loop_
_atom_site_label
_atom_site_type_symbol
_atom_site_fract_x
_atom_site_fract_y
_atom_site_fract_z
_atom_site_occupancy
Sc1 Sc 0.118 0.084 0.022 1
Sc2 Sc 0.150 0.643 0.811 1
Sc3 Sc 0.350 0.357 0.311 1
Sc4 Sc 0.382 0.916 0.522 1
Sc5 Sc 0.618 0.416 0.978 1
Sc6 Sc 0.650 0.857 0.189 1
Sc7 Sc 0.850 0.143 0.689 1
Sc8 Sc 0.882 0.584 0.478 1
Si1 Si 0.147 0.576 0.082 1
Si2 Si 0.164 0.854 0.277 1
Si3 Si 0.336 0.146 0.777 1
Si4 Si 0.353 0.424 0.582 1
Si5 Si 0.647 0.924 0.918 1
Si6 Si 0.664 0.646 0.723 1
Si7 Si 0.836 0.354 0.223 1
Si8 Si 0.853 0.076 0.418 1

=====

No. 8
# Sc4Si3 (PBE, relaxed)
# SG: P6/mmm
# Crystal system: hexagonal
# Formation energy from raw total energies, eV/atom: -0.452
# Theoretical density, g/cm3: 3.47
data_Sc4Si3
_chemical_formula_sum 'Sc4 Si3'
_cell_length_a 5.258
_cell_length_b 5.258
_cell_length_c 5.286
_cell_angle_alpha 90.00
_cell_angle_beta 90.00
_cell_angle_gamma 120.00
_symmetry_space_group_name_H-M 'P 1'
_symmetry_Int_Tables_number 1
loop_
_symmetry_equiv_pos_as_xyz
'x,y,z'
loop_
_atom_site_label
_atom_site_type_symbol
_atom_site_fract_x
_atom_site_fract_y
_atom_site_fract_z
_atom_site_occupancy
Sc1 Sc 0.000 0.000 0.249 1
Sc2 Sc 0.000 0.000 0.751 1
Sc3 Sc 0.333 0.667 0.500 1
Sc4 Sc 0.667 0.333 0.500 1
Si1 Si 0.000 0.500 0.000 1
Si2 Si 0.500 0.000 0.000 1
Si3 Si 0.500 0.500 0.000 1

=====

No. 9
# Sc2Si3 (PBE, relaxed)
# SG: Fdd2
# Crystal system: orthorhombic
# Energy above the most stable polymorph in this dataset, meV per atom: 0
# Formation energy from raw total energies, eV/atom: -0.613
# Theoretical density, g/cm3: 3.48
data_Sc2Si3
_chemical_formula_sum 'Sc4 Si6'
_cell_length_a 7.370
_cell_length_b 5.248
_cell_length_c 8.216
_cell_angle_alpha 61.82
_cell_angle_beta 38.88
_cell_angle_gamma 79.30
_symmetry_space_group_name_H-M 'P 1'
_symmetry_Int_Tables_number 1
loop_
_symmetry_equiv_pos_as_xyz
'x,y,z'
loop_
_atom_site_label
_atom_site_type_symbol
_atom_site_fract_x
_atom_site_fract_y
_atom_site_fract_z
_atom_site_occupancy
Sc1 Sc 0.128 0.872 0.270 1
Sc2 Sc 0.520 0.980 0.378 1
Sc3 Sc 0.872 0.128 0.730 1
Sc4 Sc 0.980 0.520 0.122 1
Si1 Si 0.149 0.149 0.851 1
Si2 Si 0.399 0.399 0.101 1
Si3 Si 0.456 0.551 0.305 1
Si4 Si 0.551 0.456 0.688 1
Si5 Si 0.562 0.945 0.699 1
Si6 Si 0.945 0.562 0.794 1

=====

No. 10
# ScSi3 (PBE, relaxed)
# SG: P-6m2
# Crystal system: hexagonal
# Formation energy from raw total energies, eV/atom: 0.154
# Theoretical density, g/cm3: 3.16
data_ScSi3
_chemical_formula_sum 'Sc1 Si3'
_cell_length_a 3.136
_cell_length_b 3.136
_cell_length_c 7.969
_cell_angle_alpha 90.00
_cell_angle_beta 90.00
_cell_angle_gamma 120.00
_symmetry_space_group_name_H-M 'P 1'
_symmetry_Int_Tables_number 1
loop_
_symmetry_equiv_pos_as_xyz
'x,y,z'
loop_
_atom_site_label
_atom_site_type_symbol
_atom_site_fract_x
_atom_site_fract_y
_atom_site_fract_z
_atom_site_occupancy
Sc1 Sc 0.000 0.000 0.000 1
Si1 Si 0.000 0.000 0.500 1
Si2 Si 0.667 0.333 0.274 1
Si3 Si 0.667 0.333 0.726 1

=====

No. 11
# ScSi2 (PBE, relaxed)
# SG: Fd-3m
# Crystal system: cubic
# Formation energy from raw total energies, eV/atom: -0.286
# Theoretical density, g/cm3: 3.58
data_ScSi2
_chemical_formula_sum 'Sc2 Si4'
_cell_length_a 5.102
_cell_length_b 5.102
_cell_length_c 5.102
_cell_angle_alpha 60.00
_cell_angle_beta 60.00
_cell_angle_gamma 60.00
_symmetry_space_group_name_H-M 'P 1'
_symmetry_Int_Tables_number 1
loop_
_symmetry_equiv_pos_as_xyz
'x,y,z'
loop_
_atom_site_label
_atom_site_type_symbol
_atom_site_fract_x
_atom_site_fract_y
_atom_site_fract_z
_atom_site_occupancy
Sc1 Sc 0.125 0.125 0.125 1
Sc2 Sc 0.875 0.875 0.875 1
Si1 Si 0.000 0.500 0.500 1
Si2 Si 0.500 0.000 0.500 1
Si3 Si 0.500 0.500 0.000 1
Si4 Si 0.500 0.500 0.500 1

=====

No. 12
# ScSi (PBE, relaxed)
# SG: Fd-3m
# Crystal system: cubic
# Formation energy from raw total energies, eV/atom: 0.030
# Theoretical density, g/cm3: 3.40
data_ScSi
_chemical_formula_sum 'Sc2 Si2'
_cell_length_a 4.657
_cell_length_b 4.657
_cell_length_c 4.657
_cell_angle_alpha 60.00
_cell_angle_beta 60.00
_cell_angle_gamma 60.00
_symmetry_space_group_name_H-M 'P 1'
_symmetry_Int_Tables_number 1
loop_
_symmetry_equiv_pos_as_xyz
'x,y,z'
loop_
_atom_site_label
_atom_site_type_symbol
_atom_site_fract_x
_atom_site_fract_y
_atom_site_fract_z
_atom_site_occupancy
Sc1 Sc 0.125 0.125 0.125 1
Sc2 Sc 0.875 0.875 0.875 1
Si1 Si 0.375 0.375 0.375 1
Si2 Si 0.625 0.625 0.625 1